This record from Alexandria via LeMat-Bulk describes a geometry-optimized Ho3InAg3Te8 structure. The functional is PBE-GGA.

Cell lengths 8.6804, 8.6800, 8.6303 Å; angles 120.24, 90.00, 120.00 degrees
With the nearest neighbours (Å) after each atom.
Positions (direct):
Ho  0.5000  0.5000  0.5000  6 Te 3.06-3.09
Te  0.7524  0.9950  0.2479  1 In 3.03, 2 Ag 3.03, 2 Ho 3.09
Ag  0.0000  0.5000  0.0000  6 Te 3.03-3.06
In  0.0000  0.0000  0.5000  6 Te 3.03
Ho  0.5000  0.0000  0.5000  6 Te 3.06-3.09
Te  0.2475  0.4951  0.7521  1 In 3.03, 2 Ag 3.03, 2 Ho 3.09
Te  0.7506  0.5011  0.7514  3 Ag 3.05-3.06, 3 Ho 3.06
Ho  0.0000  0.5000  0.5000  6 Te 3.06-3.09
Te  0.7525  0.5049  0.2479  1 In 3.03, 2 Ag 3.03, 2 Ho 3.09
Te  0.2426  0.9950  0.2479  1 In 3.03, 2 Ag 3.03, 2 Ho 3.09
Ag  0.5000  0.5000  0.0000  6 Te 3.03-3.06
Ag  0.0000  0.0000  0.0000  6 Te 3.03-3.05
Te  0.2494  0.4989  0.2486  3 Ag 3.05-3.06, 3 Ho 3.06
Te  0.2476  0.0050  0.7521  1 In 3.03, 2 Ag 3.03, 2 Ho 3.09
Te  0.7574  0.0050  0.7521  1 In 3.03, 2 Ag 3.03, 2 Ho 3.09

Calculated values
- magnetic moment (μB/atom) = 0.000
- electronic total energy (hartree per atom) = -0.148
- formation energy without anion corrections (eV/f.u.) = -10.091
- SG = R-3m